## CePuZr2N4 (PBE)

Data for a geometry-optimized CePuZr2N4 structure.

## Properties
N(E_F): 7.63 states/eV/cell
uncorrected formation energy: -1.586 eV/atom

abc: 5.820 3.362 5.941
angles: 90.00 109.07 90.00
Space group P2/m (No. 10)
One atom of each set of equivalent atoms:
Ce  0.000  0.000  0.000
Pu  0.500  0.500  0.000
Zr  0.000  0.500  0.500
Zr  0.500  0.000  0.500
N  0.246  0.000  0.730
N  0.260  0.500  0.274